Version a
Material: CsRb3Na
Method: DFT, PBE-GGA
State: relaxed

Computed properties:
Its space-group type is P2_1/m (11). The calculation puts the density of states at the Fermi level at 7.67 states/eV/cell.

Cell: 11.0873 9.3290 8.3095 Å, 90.00 78.52 90.00°
Fractional coordinates of all 10 atoms:
1 Cs 0.1001 0.7500 0.6316
2 Cs 0.8999 0.2500 0.3684
3 Rb 0.7137 0.4963 0.9271
4 Rb 0.2863 0.5037 0.0729
5 Rb 0.7137 0.0037 0.9271
6 Rb 0.2863 0.9963 0.0729
7 Rb 0.5759 0.7500 0.4696
8 Rb 0.4241 0.2500 0.5304
9 Na 0.9447 0.7500 0.1787
10 Na 0.0553 0.2500 0.8213

***

Version b
Material: CsRb3Na
Method: DFT, PBE-GGA
State: relaxed

Computed properties:
Its space-group type is Pm-3m (221). The calculation puts the density of states at the Fermi level at 6.49 states/eV/cell.

Cell: 8.3852 8.3852 8.3852 Å, 90.00 90.00 90.00°
Fractional coordinates of all 5 atoms:
1 Cs 0.0000 0.0000 0.0000
2 Na 0.5000 0.5000 0.5000
3 Rb 0.0000 0.5000 0.0000
4 Rb 0.0000 0.0000 0.5000
5 Rb 0.5000 0.0000 0.0000

***

The structure with the least stability is version b.

***

Version a
Material: Cs3Rb3Na2
Method: DFT, PBE-GGA
State: relaxed

Computed properties:
Its space-group type is P-1 (2). The calculation puts the density of states at the Fermi level at 7.26 states/eV/cell.

Cell: 7.2197 7.3270 13.7388 Å, 74.36 74.77 89.91°
Fractional coordinates of all 8 atoms:
1 Cs 0.3505 0.8494 0.2984
2 Cs 0.5000 0.5000 0.0000
3 Cs 0.6495 0.1506 0.7016
4 Rb 0.8461 0.3487 0.3072
5 Rb 0.1539 0.6513 0.6928
6 Rb 0.0000 0.0000 0.0000
7 Na 0.7488 0.7540 0.5025
8 Na 0.2512 0.2460 0.4975

***

Version b
Material: Cs3Rb3Na2
Method: DFT, PBE-GGA
State: relaxed

Computed properties:
Its space-group type is Cmcm (63). The calculation puts the density of states at the Fermi level at 14.17 states/eV/cell.

Cell: 6.0932 9.0479 26.5458 Å, 90.00 90.00 109.68°
Fractional coordinates of all 16 atoms:
1 Cs 0.9446 0.8892 0.3888
2 Cs 0.0554 0.1108 0.8888
3 Cs 0.9446 0.8892 0.1112
4 Cs 0.0554 0.1108 0.6112
5 Cs 0.6577 0.3155 0.2500
6 Cs 0.3423 0.6845 0.7500
7 Rb 0.6481 0.2961 0.4698
8 Rb 0.3519 0.7039 0.9698
9 Rb 0.6481 0.2961 0.0302
10 Rb 0.3519 0.7039 0.5302
11 Rb 0.3806 0.7613 0.2500
12 Rb 0.6194 0.2387 0.7500
13 Na 0.7680 0.5360 0.8756
14 Na 0.2320 0.4640 0.3756
15 Na 0.7680 0.5360 0.6244
16 Na 0.2320 0.4640 0.1244

***

The structure with the least stability is version b.

***

Version a
Material: CsRb2Na4
Method: DFT, PBE-GGA
State: relaxed

Computed properties:
Its space-group type is C2/c (15). The calculation puts the density of states at the Fermi level at 7.85 states/eV/cell.

Cell: 7.7235 9.3504 12.7761 Å, 111.47 89.98 90.00°
Fractional coordinates of all 14 atoms:
1 Cs 0.7500 0.2223 0.0000
2 Cs 0.2500 0.7777 0.0000
3 Rb 0.2514 0.8455 0.4120
4 Rb 0.2486 0.4335 0.5880
5 Rb 0.7486 0.1545 0.5880
6 Rb 0.7514 0.5665 0.4120
7 Na 0.7485 0.7748 0.1677
8 Na 0.7515 0.6072 0.8323
9 Na 0.2515 0.2252 0.8323
10 Na 0.2485 0.3928 0.1677
11 Na 0.9995 0.1402 0.2819
12 Na 0.5005 0.8583 0.7181
13 Na 0.0005 0.8598 0.7181
14 Na 0.4995 0.1417 0.2819

***

Version b
Material: CsRb2Na4
Method: DFT, PBE-GGA
State: relaxed

Computed properties:
Its space-group type is I4/mmm (139). The calculation puts the density of states at the Fermi level at 7.24 states/eV/cell.

Cell: 7.2847 7.2847 11.9484 Å, 72.25 72.25 90.00°
Fractional coordinates of all 7 atoms:
1 Cs 0.0000 0.0000 0.0000
2 Na 0.1938 0.1938 0.6125
3 Na 0.8062 0.8062 0.3875
4 Na 0.0000 0.5000 0.0000
5 Na 0.5000 0.0000 0.0000
6 Rb 0.3819 0.3819 0.2362
7 Rb 0.6181 0.6181 0.7638

***

The structure with the least stability is version b.

***

Version a
Material: Cs3RbNa
Method: DFT, PBE-GGA
State: relaxed

Computed properties:
Its space-group type is Pm-3m (221). The calculation puts the density of states at the Fermi level at 5.99 states/eV/cell.

Cell: 8.5614 8.5614 8.5614 Å, 90.00 90.00 90.00°
Fractional coordinates of all 5 atoms:
1 Cs 0.0000 0.5000 0.0000
2 Cs 0.0000 0.0000 0.5000
3 Cs 0.5000 0.0000 0.0000
4 Na 0.5000 0.5000 0.5000
5 Rb 0.0000 0.0000 0.0000

***

Version b
Material: Cs3RbNa
Method: DFT, PBE-GGA
State: relaxed

Computed properties:
Its space-group type is P2_1/c (14). The calculation puts the density of states at the Fermi level at 18.09 states/eV/cell.

Cell: 10.5338 11.8071 15.3626 Å, 104.07 90.00 90.00°
Fractional coordinates of all 20 atoms:
1 Cs 0.9736 0.1995 0.2626
2 Cs 0.0264 0.8005 0.7374
3 Cs 0.4736 0.8005 0.2374
4 Cs 0.5264 0.1995 0.7626
5 Cs 0.4726 0.2721 0.3537
6 Cs 0.5274 0.7279 0.6463
7 Cs 0.9726 0.7279 0.1463
8 Cs 0.0274 0.2721 0.8537
9 Cs 0.8410 0.3915 0.5865
10 Cs 0.1590 0.6085 0.4135
11 Cs 0.3410 0.6085 0.9135
12 Cs 0.6590 0.3915 0.0865
13 Rb 0.7806 0.9529 0.4790
14 Rb 0.2194 0.0471 0.5210
15 Rb 0.2806 0.0471 0.0210
16 Rb 0.7194 0.9529 0.9790
17 Na 0.2385 0.4206 0.1277
18 Na 0.7615 0.5794 0.8723
19 Na 0.7385 0.5794 0.3723
20 Na 0.2615 0.4206 0.6277

***

Version c
Material: Cs3RbNa
Method: DFT, PBE-GGA
State: relaxed

Computed properties:
Its space-group type is Pm-3m (221). The calculation puts the density of states at the Fermi level at 6.47 states/eV/cell.

Cell: 8.1023 8.1023 8.1023 Å, 90.00 90.00 90.00°
Fractional coordinates of all 5 atoms:
1 Cs 0.0000 0.5000 0.0000
2 Cs 0.0000 0.0000 0.5000
3 Cs 0.5000 0.0000 0.0000
4 Na 0.0000 0.0000 0.0000
5 Rb 0.5000 0.5000 0.5000

***

The structure with the least stability is version a.

***

Version a
Material: CsRbNa
Method: DFT, PBE-GGA
State: relaxed

Computed properties:
Its space-group type is C2/m (12). The calculation puts the density of states at the Fermi level at 4.26 states/eV/cell.

Cell: 5.7051 14.9275 8.5009 Å, 44.66 90.00 101.02°
Fractional coordinates of all 6 atoms:
1 Cs 0.1435 0.2871 0.3806
2 Cs 0.8565 0.7129 0.6194
3 Rb 0.5745 0.1491 0.0606
4 Rb 0.4255 0.8509 0.9394
5 Na 0.2301 0.4602 0.6658
6 Na 0.7699 0.5398 0.3342

***

Version b
Material: CsRbNa
Method: DFT, PBE-GGA
State: relaxed

Computed properties:
Its space-group type is F-43m (216). The calculation puts the density of states at the Fermi level at 3.43 states/eV/cell.

Cell: 7.2021 7.2021 7.2021 Å, 60.00 60.00 60.00°
Fractional coordinates of all 3 atoms:
1 Cs 0.0000 0.0000 0.0000
2 Na 0.2500 0.2500 0.2500
3 Rb 0.5000 0.5000 0.5000

***

Version c
Material: CsRbNa
Method: DFT, PBE-GGA
State: relaxed

Computed properties:
Its space-group type is P1 (1). The calculation puts the density of states at the Fermi level at 5.04 states/eV/cell.

Cell: 6.4075 9.6802 8.1858 Å, 76.26 90.03 89.94°
Fractional coordinates of all 6 atoms:
1 Cs 0.8285 0.2627 0.3795
2 Cs 0.3285 0.7358 0.5270
3 Rb 0.3274 0.1752 0.8762
4 Rb 0.8274 0.8236 0.0302
5 Na 0.8267 0.4635 0.8401
6 Na 0.3265 0.5354 0.0653

***

Version d
Material: CsRbNa
Method: DFT, PBE-GGA
State: relaxed

Computed properties:
Its space-group type is P3m1 (156). The calculation puts the density of states at the Fermi level at 1.96 states/eV/cell.

Cell: 5.0375 7.3010 7.3010 Å, 120.00 90.00 90.00°
Fractional coordinates of all 3 atoms:
1 Cs 0.6754 0.3333 0.6667
2 Na 0.0727 0.0000 0.0000
3 Rb 0.2518 0.6667 0.3333

***

The structure with the least stability is version b.

***

Version a
Material: Cs5Rb4Na2
Method: DFT, PBE-GGA
State: relaxed

Computed properties:
Its space-group type is Immm (71). The calculation puts the density of states at the Fermi level at 9.74 states/eV/cell.

Cell: 4.9907 12.9827 17.2614 Å, 112.09 98.31 90.00°
Fractional coordinates of all 11 atoms:
1 Cs 0.1444 0.3602 0.2889
2 Cs 0.8556 0.6398 0.7111
3 Cs 0.1444 0.9287 0.2889
4 Cs 0.5000 0.0000 0.0000
5 Cs 0.8556 0.0713 0.7111
6 Rb 0.7277 0.7277 0.4554
7 Rb 0.0000 0.3343 0.0000
8 Rb 0.2723 0.2723 0.5446
9 Rb 0.0000 0.6657 0.0000
10 Na 0.5939 0.5939 0.1878
11 Na 0.4061 0.4061 0.8122

***

Version b
Material: Cs5Rb4Na2
Method: DFT, PBE-GGA
State: relaxed

Computed properties:
Its space-group type is C2/m (12). The calculation puts the density of states at the Fermi level at 10.78 states/eV/cell.

Cell: 5.0707 8.4350 23.8406 Å, 85.58 96.10 90.00°
Fractional coordinates of all 11 atoms:
1 Cs 0.7935 0.0976 0.5870
2 Cs 0.2065 0.9024 0.4130
3 Cs 0.8971 0.0420 0.7942
4 Cs 0.5000 0.0000 0.0000
5 Cs 0.1029 0.9580 0.2058
6 Rb 0.3444 0.5690 0.6889
7 Rb 0.9488 0.5202 0.8975
8 Rb 0.6556 0.4310 0.3111
9 Rb 0.0512 0.4798 0.1025
10 Na 0.2313 0.3978 0.4626
11 Na 0.7687 0.6022 0.5374

***

The structure with the least stability is version a.